Compound: SrAl2ReGe
Source: Alexandria
Functional: SCAN
Structure: PBEsol geometry

Unit cell a=4.7274 b=4.9004 c=4.9004 alpha=90.00 beta=90.00 gamma=90.00
With the nearest neighbours (Å) after each atom.
Element x y z (fractional)
Re 0.5000 0.0000 0.0000  2 Ge 2.36
Ge 0.0000 0.0000 0.0000  2 Re 2.36, 4 Al 2.45
Al 0.0000 0.0000 0.5000  2 Ge 2.45
Al 0.0000 0.5000 0.0000  2 Ge 2.45
Sr 0.5000 0.5000 0.5000  8 Al 3.40, 4 Re 3.47

Summary:
Energy = -24.8714 eV/atom
Spin magnetization = 0.95 μB/f.u.
SG = P4/mmm